[1]
A plane-wave DFT calculation with PBE-GGA was carried out for a geometry-optimized Tl2IF5 structure.

Calculated values
Formation energy from raw total energies: -1.632 eV/atom
Calculated density: 5.6 g/cm³
Space-group type: P-1 (2)
Final energy: -3.59 eV per atom

Lattice parameters (Å, degrees): 7.707 7.490 8.369 126.14 127.24 99.15
Positions (direct):
I: 0.034 0.034 0.069
F: 0.251 0.989 0.005
F: 0.818 0.081 0.134
F: 0.535 0.535 0.070
F: 0.024 0.273 0.020
F: 0.044 0.796 0.118
Tl: 0.892 0.204 0.578
Tl: 0.178 0.865 0.561



[2]
A plane-wave DFT calculation with PBE-GGA was carried out for a geometry-optimized Ca2NiBr structure.

Calculated values
Formation energy from raw total energies: -0.446 eV/atom
Excess energy over the best structure of this formula in the dataset: 262 meV/atom
Calculated density: 3.1 g/cm³
Space-group type: I-42d (122)
Final energy: -3.31 eV per atom

Lattice parameters (Å, degrees): 7.490 7.490 6.734 56.21 56.21 90.00
Positions (direct):
Ca: 0.875 0.846 0.750
Ca: 0.375 0.404 0.750
Ca: 0.596 0.125 0.250
Ca: 0.154 0.625 0.250
Ni: 0.500 0.500 0.000
Ni: 0.250 0.750 0.500
Br: 0.000 0.000 0.000
Br: 0.750 0.250 0.500



[3]
A plane-wave DFT calculation with PBE-GGA was carried out for a geometry-optimized AcCe3Ga3 structure.

Calculated values
Calculated density: 5.7 g/cm³
Space-group type: Pm-3n (223)
Final energy: -4.24 eV per atom
Formation energy: 0.187 eV per atom

Lattice parameters (Å, degrees): 7.924 7.924 7.924 90.00 90.00 90.00
Each line ends with the local moment (μB).
Positions (direct):
Ga: 0.250 0.000 0.500  -0.01
Ga: 0.000 0.500 0.250  -0.01
Ga: 0.000 0.500 0.750  -0.01
Ga: 0.500 0.250 0.000  -0.01
Ga: 0.500 0.750 0.000  -0.01
Ga: 0.750 0.000 0.500  -0.01
Ce: 0.500 0.000 0.750  0.19
Ce: 0.750 0.500 0.000  0.19
Ce: 0.000 0.250 0.500  0.19
Ce: 0.500 0.000 0.250  0.19
Ce: 0.000 0.750 0.500  0.19
Ce: 0.250 0.500 0.000  0.19
Ac: 0.000 0.000 0.000  -0.01
Ac: 0.500 0.500 0.500  -0.01



[4]
A plane-wave DFT calculation with PBE-GGA was carried out for a geometry-optimized Ni13Sb2 structure.

Calculated values
Formation energy from raw total energies: 0.322 eV/atom
Calculated density: 7.6 g/cm³
Space-group type: R-3m (166)
Final energy: -5.24 eV per atom

Lattice parameters (Å, degrees): 6.328 6.328 7.338 64.46 64.46 60.00
Each line ends with the local moment (μB).
Positions (direct):
Ni: 0.380 0.993 0.248  0.19
Ni: 0.121 0.749 0.382  0.52
Ni: 0.380 0.380 0.248  0.19
Ni: 0.500 0.500 0.500  0.17
Ni: 0.749 0.121 0.382  0.52
Ni: 0.251 0.251 0.618  0.52
Ni: 0.749 0.749 0.382  0.52
Ni: 0.620 0.620 0.752  0.19
Ni: 0.007 0.620 0.752  0.19
Ni: 0.993 0.380 0.248  0.19
Ni: 0.879 0.251 0.618  0.52
Ni: 0.251 0.879 0.618  0.52
Ni: 0.620 0.007 0.752  0.19
Sb: 0.362 0.362 0.915  -0.01
Sb: 0.638 0.638 0.085  -0.01



[5]
A plane-wave DFT calculation with PBE-GGA was carried out for a geometry-optimized Sm2HoTm3 structure.

Calculated values
Excess energy over the best structure of this formula in the dataset: 0 meV/atom
Calculated density: 8.6 g/cm³
Space-group type: C2/m (12)
Final energy: -4.49 eV per atom
Formation energy: 0.079 eV per atom

Lattice parameters (Å, degrees): 5.626 6.583 15.254 48.12 79.37 64.70
Positions (direct):
Tm: 0.584 0.916 0.917
Tm: 0.917 0.583 0.583
Tm: 0.833 0.168 0.167
Tm: 0.416 0.084 0.083
Tm: 0.167 0.832 0.833
Tm: 0.083 0.417 0.417
Sm: 0.625 0.125 0.625
Sm: 0.875 0.374 0.876
Sm: 0.375 0.875 0.375
Sm: 0.125 0.626 0.124
Ho: 0.666 0.335 0.333
Ho: 0.334 0.665 0.667



[6]
A plane-wave DFT calculation with PBE-GGA was carried out for a geometry-optimized K2ErSnSe4 structure.

Calculated values
Formation energy from raw total energies: -1.105 eV/atom
Calculated density: 4.5 g/cm³
Space-group type: I-42m (121)
Final energy: -4.19 eV per atom

Lattice parameters (Å, degrees): 7.357 6.891 6.891 73.44 57.74 57.74
Positions (direct):
Se: 0.576 0.000 0.349
Se: 0.925 0.000 0.651
Se: 0.424 0.651 0.000
Se: 0.075 0.349 0.000
K: 0.500 0.500 0.500
K: 0.000 0.500 0.500
Er: 0.000 0.000 0.000
Sn: 0.500 0.000 0.000



[7]
A plane-wave DFT calculation with PBE-GGA was carried out for a geometry-optimized NiTe6Pt2 structure.

Calculated values
Formation energy from raw total energies: -0.307 eV/atom
Excess energy over the best structure of this formula in the dataset: 0 meV/atom
Calculated density: 8.2 g/cm³
Space-group type: C2/m (12)
Final energy: -4.39 eV per atom

Lattice parameters (Å, degrees): 4.001 6.336 11.346 114.37 90.00 108.40
Positions (direct):
Te: 0.670 0.339 0.072
Te: 0.345 0.691 0.410
Te: 0.996 0.992 0.726
Te: 0.004 0.008 0.274
Te: 0.655 0.309 0.590
Te: 0.330 0.661 0.928
Pt: 0.337 0.675 0.169
Pt: 0.663 0.325 0.831
Ni: 0.000 0.000 0.500



[8]
A plane-wave DFT calculation with PBE-GGA was carried out for a geometry-optimized Pm6Pt2N structure.

Calculated values
Formation energy from raw total energies: -0.877 eV/atom
Calculated density: 8.9 g/cm³
Space-group type: P2_1/c (14)
Final energy: -6.31 eV per atom

Lattice parameters (Å, degrees): 6.620 7.248 9.908 90.00 91.30 90.00
Positions (direct):
Pm: 0.378 0.533 0.761
Pm: 0.173 0.307 0.440
Pm: 0.122 0.033 0.739
Pm: 0.878 0.967 0.261
Pm: 0.310 0.826 0.442
Pm: 0.622 0.467 0.239
Pm: 0.810 0.674 0.942
Pm: 0.190 0.326 0.058
Pm: 0.327 0.807 0.060
Pm: 0.673 0.193 0.940
Pm: 0.827 0.693 0.560
Pm: 0.690 0.174 0.558
Pt: 0.050 0.600 0.247
Pt: 0.450 0.100 0.253
Pt: 0.550 0.900 0.747
Pt: 0.950 0.400 0.753
N: 0.500 0.500 0.000
N: 0.000 0.000 0.500



[9]
A plane-wave DFT calculation with PBE-GGA was carried out for a geometry-optimized HgGe2PdI structure.

Calculated values
Formation energy from raw total energies: 1.277 eV/atom
Calculated density: 5.7 g/cm³
Space-group type: P4/mmm (123)
Final energy: -1.98 eV per atom

Lattice parameters (Å, degrees): 5.487 5.625 5.487 90.00 90.00 90.00
Positions (direct):
I: 0.000 0.000 0.000
Hg: 0.000 0.500 0.000
Ge: 0.500 0.000 0.000
Ge: 0.000 0.000 0.500
Pd: 0.500 0.500 0.500



[10]
A plane-wave DFT calculation with PBE-GGA was carried out for a geometry-optimized Ce2PuPd9 structure.

Calculated values
Calculated density: 11.4 g/cm³
Space-group type: P4/mmm (123)
Final energy: -6.82 eV per atom
Formation energy: -0.743 eV per atom

Lattice parameters (Å, degrees): 4.156 4.156 12.469 90.00 90.00 90.00
Each line ends with the local moment (μB).
Positions (direct):
Pd: 0.500 0.500 0.334  -0.02
Pd: 0.500 0.000 0.831  -0.03
Pd: 0.500 0.500 0.666  -0.02
Pd: 0.000 0.500 0.831  -0.03
Pd: 0.000 0.500 0.500  -0.02
Pd: 0.000 0.500 0.169  -0.03
Pd: 0.500 0.000 0.500  -0.02
Pd: 0.500 0.500 0.000  -0.04
Pd: 0.500 0.000 0.169  -0.03
Pu: 0.000 0.000 0.000  4.91
Ce: 0.000 0.000 0.332  0.41
Ce: 0.000 0.000 0.668  0.41



[11]
A plane-wave DFT calculation with PBE-GGA was carried out for a geometry-optimized LiGdNiBi structure.

Calculated values
Calculated density: 9.2 g/cm³
Space-group type: F-43m (216)
Final energy: -6.78 eV per atom
Formation energy: -0.365 eV per atom

Lattice parameters (Å, degrees): 4.788 4.788 4.788 60.00 60.00 60.00
Each line ends with the local moment (μB).
Positions (direct):
Bi: 0.250 0.250 0.250  -0.05
Li: 0.000 0.000 0.000  0.00
Gd: 0.750 0.750 0.750  6.97
Ni: 0.500 0.500 0.500  -0.09



[12]
A plane-wave DFT calculation with PBE-GGA was carried out for a geometry-optimized Ca3SmTl4 structure.

Calculated values
Calculated density: 7.7 g/cm³
Space-group type: P4/mmm (123)
Final energy: -2.95 eV per atom
Formation energy: -0.425 eV per atom

Lattice parameters (Å, degrees): 3.849 3.849 15.771 90.00 90.00 90.00
Positions (direct):
Tl: 0.000 0.000 0.874
Tl: 0.000 0.000 0.375
Tl: 0.000 0.000 0.126
Tl: 0.000 0.000 0.625
Ca: 0.500 0.500 0.500
Ca: 0.500 0.500 0.749
Ca: 0.500 0.500 0.251
Sm: 0.500 0.500 0.000